# 1
# PBE CsCaTlSiSe, optimized geometry
data_CsCaTlSiSe
_chemical_formula_sum 'Cs3 Ca3 Tl3 Si3 Se3'
_space_group_name_H-M_alt 'R 3 m'
_space_group_IT_number 160
_space_group_name_Hall 'R 3 -2"'
_cell_length_a 4.5236
_cell_length_b 4.5236
_cell_length_c 28.6459
_cell_angle_alpha 90.00
_cell_angle_beta 90.00
_cell_angle_gamma 120.00
loop_
_atom_site_label
_atom_site_fract_x
_atom_site_fract_y
_atom_site_fract_z
_atom_site_occupancy
Cs1 0.0000 0.0000 0.0000 1
Ca1 0.0000 0.0000 0.7968 1
Tl1 0.0000 0.0000 0.5560 1
Si1 0.0000 0.0000 0.2113 1
Se1 0.0000 0.0000 0.4179 1
# Offset from the most stable computed form (eV per atom): 0.000
# Energy relative to the elements, uncorrected (eV/atom): -0.66
# Spin magnetization (Bohr magnetons per cell): 0.0

# 2
# PBE FeSb8, optimized geometry
data_FeSb8
_chemical_formula_sum 'Fe2 Sb16'
_space_group_name_H-M_alt 'I 4/m m m'
_space_group_IT_number 139
_space_group_name_Hall '-I 4 2'
_cell_length_a 12.0005
_cell_length_b 12.0005
_cell_length_c 3.3791
_cell_angle_alpha 90.00
_cell_angle_beta 90.00
_cell_angle_gamma 90.00
loop_
_atom_site_label
_atom_site_fract_x
_atom_site_fract_y
_atom_site_fract_z
_atom_site_occupancy
Fe1 0.0000 0.0000 0.0000 1
Sb1 0.0000 0.3418 0.0000 1
Sb2 0.1287 0.1287 0.5000 1
# Energy relative to the elements, uncorrected (eV/atom): 0.22
# Spin magnetization (Bohr magnetons per cell): 3.0

# 3
# PBE GeSbRuI2, optimized geometry
data_GeSbRuI2
_chemical_formula_sum 'Ge1 Sb1 Ru1 I2'
_space_group_name_H-M_alt 'P 4/m m m'
_space_group_IT_number 123
_space_group_name_Hall '-P 4 2'
_cell_length_a 5.4810
_cell_length_b 5.4810
_cell_length_c 5.0186
_cell_angle_alpha 90.00
_cell_angle_beta 90.00
_cell_angle_gamma 90.00
loop_
_atom_site_label
_atom_site_fract_x
_atom_site_fract_y
_atom_site_fract_z
_atom_site_occupancy
Ge1 0.0000 0.0000 0.0000 1
Sb1 0.5000 0.5000 0.0000 1
Ru1 0.5000 0.5000 0.5000 1
I1 0.0000 0.5000 0.5000 1
# Offset from the most stable computed form (eV per atom): 0.000
# Energy relative to the elements, uncorrected (eV/atom): 0.63
# Spin magnetization (Bohr magnetons per cell): 0.6

# 4
# PBE Cr2ReTc, optimized geometry
data_Cr2ReTc
_chemical_formula_sum 'Cr2 Re1 Tc1'
_space_group_name_H-M_alt 'P 1 m 1'
_space_group_IT_number 6
_cell_length_a 2.6452
_cell_length_b 4.1588
_cell_length_c 4.9761
_cell_angle_alpha 90.00
_cell_angle_beta 102.11
_cell_angle_gamma 90.00
loop_
_space_group_symop_operation_xyz
'x,y,z'
'x,-y,z'
loop_
_atom_site_label
_atom_site_fract_x
_atom_site_fract_y
_atom_site_fract_z
_atom_site_occupancy
Cr1 0.0000 0.0000 0.0000 1
Cr2 0.1863 0.5000 0.7762 1
Re1 0.7418 0.5000 0.2567 1
Tc1 0.4579 0.0000 0.5224 1
# Formation energy from the elements (eV/atom): 0.097
# Spin magnetization (Bohr magnetons per cell): 0.0